Entry 1:
CrCuRe2 | GGA-PBEsol | relaxed

Calculated values
**E_tot**: -10.039 eV/atom
**Energy relative to the elements**: 1.1 eV per formula unit
**Mass density**: 15.457 Mg/m³

a = 4.622 Å, b = 4.622 Å, c = 4.430 Å
α = 102.09°, β = 102.09°, γ = 34.58°
Element x y z (fractional)
Cr1 0.000 0.000 0.000
Cu1 0.251 0.251 0.754
Re1 0.496 0.496 0.502
Re2 0.743 0.743 0.243

Entry 2:
AlZnAu | GGA-PBEsol | relaxed

Calculated values
**E_tot**: -3.334 eV/atom
**Energy relative to the elements**: -0.4 eV per formula unit
**Mass density**: 10.256 Mg/m³

a = 6.072 Å, b = 6.072 Å, c = 6.072 Å
α = 152.75°, β = 152.75°, γ = 38.92°
Element x y z (fractional)
Al1 0.000 0.000 0.000
Zn1 0.335 0.335 0.000
Au1 0.662 0.662 0.000

Entry 3:
AlSbHI2 | GGA-PBEsol | relaxed

Calculated values
**E_tot**: -2.502 eV/atom
**Mass density**: 4.092 Mg/m³

a = 5.614 Å, b = 5.614 Å, c = 5.197 Å
α = 90.00°, β = 90.00°, γ = 90.00°
Element x y z (fractional)
Al1 0.000 0.000 0.000
Sb1 0.000 0.000 0.500
H1 0.500 0.500 0.500
I1 0.000 0.500 0.000
I2 0.500 0.000 0.000

Entry 4:
KZn2P2O8 | GGA-PBEsol | relaxed

Calculated values
**E_tot**: -6.361 eV/atom
**Raw formation energy**: -1.909 eV per atom
**Mass density**: 2.964 Mg/m³

a = 5.132 Å, b = 8.834 Å, c = 9.476 Å
α = 82.38°, β = 77.79°, γ = 74.51°
Element x y z (fractional)
K1 0.184 0.246 0.321
K2 0.816 0.754 0.679
Zn1 0.155 0.080 0.767
Zn2 0.313 0.381 0.889
Zn3 0.687 0.619 0.111
Zn4 0.845 0.920 0.233
P1 0.166 0.740 0.950
P2 0.345 0.796 0.387
P3 0.655 0.204 0.613
P4 0.834 0.260 0.050
O1 0.031 0.839 0.394
O2 0.037 0.252 0.899
O3 0.073 0.888 0.853
O4 0.125 0.599 0.883
O5 0.401 0.758 0.542
O6 0.460 0.937 0.309
O7 0.464 0.717 0.970
O8 0.483 0.645 0.306
O9 0.517 0.355 0.694
O10 0.536 0.283 0.030
O11 0.540 0.063 0.691
O12 0.599 0.242 0.458
O13 0.875 0.401 0.117
O14 0.927 0.112 0.147
O15 0.963 0.748 0.101
O16 0.969 0.161 0.606

Repeat the first record exactly.
CrCuRe2 | GGA-PBEsol | relaxed

Calculated values
**E_tot**: -10.039 eV/atom
**Energy relative to the elements**: 1.1 eV per formula unit
**Mass density**: 15.457 Mg/m³

a = 4.622 Å, b = 4.622 Å, c = 4.430 Å
α = 102.09°, β = 102.09°, γ = 34.58°
Element x y z (fractional)
Cr1 0.000 0.000 0.000
Cu1 0.251 0.251 0.754
Re1 0.496 0.496 0.502
Re2 0.743 0.743 0.243

Question: The lowest E_tot belongs to which entry?
Answer: CrCuRe2